No. 1
5
Lattice="5.127 0.000 0.000 0.000 5.127 0.000 0.000 0.000 5.127" Properties=species:S:1:pos:R:3 comment="Mg3AlAu (PBE, relaxed)" magnetic_moment_mub_per_fu=0.000 e_above_lowest_polymorph_mev_per_atom=268 energy_ev_per_cell=-10.103 formation_energy_ev_per_atom=0.340 dos_at_fermi_per_ev_atom=0.15 pbc="T T T"
Mg 0.000 0.000 2.563
Mg 0.000 2.563 0.000
Mg 2.563 0.000 0.000
Al 0.000 0.000 0.000
Au 2.563 2.563 2.563

---

No. 2
7
Lattice="4.469 0.000 0.000 2.220 4.001 0.000 2.049 1.052 7.305" Properties=species:S:1:pos:R:3 comment="Mg2Al2Au3 (PBE, relaxed)" magnetic_moment_mub_per_fu=0.000 energy_ev_per_cell=-23.769 formation_energy_ev_per_atom=-0.466 dos_at_fermi_per_ev_atom=0.35 pbc="T T T"
Mg 1.103 0.618 1.002
Mg 7.634 4.435 6.303
Al 3.321 1.860 2.725
Al 5.417 3.193 4.580
Au 3.184 1.817 5.259
Au 3.344 2.001 0.000
Au 5.554 3.236 2.046

---

No. 3
32
Lattice="6.737 0.000 0.000 0.000 16.955 0.000 0.000 0.000 5.384" Properties=species:S:1:pos:R:3 comment="Mg3Al3Au2 (PBE, relaxed)" magnetic_moment_mub_per_fu=0.000 energy_ev_per_cell=-100.467 formation_energy_ev_per_atom=-0.319 dos_at_fermi_per_ev_atom=0.32 pbc="T T T"
Mg 0.012 1.983 0.497
Mg 0.012 6.494 0.497
Mg 1.159 4.239 3.561
Mg 2.210 12.716 0.869
Mg 3.357 10.461 3.189
Mg 3.357 14.972 3.189
Mg 3.381 1.983 2.194
Mg 3.381 6.494 2.194
Mg 4.528 4.239 4.514
Mg 5.578 12.716 1.823
Mg 6.725 10.461 4.886
Mg 6.725 14.972 4.886
Al 1.211 12.716 3.575
Al 1.221 0.339 3.391
Al 1.221 8.139 3.391
Al 2.147 8.817 0.699
Al 2.147 16.616 0.699
Al 2.158 4.239 0.883
Al 4.580 12.716 4.501
Al 4.590 0.339 4.685
Al 4.590 8.139 4.685
Al 5.516 8.817 1.993
Al 5.516 16.616 1.993
Al 5.526 4.239 1.809
Au 0.801 10.532 2.211
Au 0.801 14.900 2.211
Au 2.568 2.055 4.903
Au 2.568 6.423 4.903
Au 4.169 10.532 0.481
Au 4.169 14.900 0.481
Au 5.937 2.055 3.173
Au 5.937 6.423 3.173

---

No. 4
9
Lattice="7.977 0.000 0.000 -3.989 6.908 0.000 0.000 0.000 3.337" Properties=species:S:1:pos:R:3 comment="Mg6Al2Au (PBE, relaxed)" magnetic_moment_mub_per_fu=0.000 energy_ev_per_cell=-21.827 formation_energy_ev_per_atom=-0.166 dos_at_fermi_per_ev_atom=0.31 pbc="T T T"
Mg -1.495 2.589 0.000
Mg -2.889 5.004 1.668
Mg 1.099 1.904 1.668
Mg 2.989 0.000 0.000
Mg 2.494 4.320 0.000
Mg 5.779 0.000 1.668
Al 0.000 4.606 1.668
Al 3.989 2.303 1.668
Au 0.000 0.000 0.000